! Pa3W5S12 | the Alexandria database | PBE | optimized geometry; values from VASP
! Total magnetization (μB per cell): 13.0
! Energy relative to the elements, uncorrected (eV/atom): -0.558
! SG: No. 230
&SYSTEM
  ibrav = 0, nat = 80, ntyp = 3
/
ATOMIC_SPECIES
S 32.06 S.upf
W 183.84 W.upf
Pa 231.04 Pa.upf
CELL_PARAMETERS angstrom
12.8462 0.0000 0.0000
-4.2821 12.1116 0.0000
-4.2821 -6.0558 10.4889
ATOMIC_POSITIONS crystal
S 0.1175 0.4068 0.0841
S 0.5334 0.2108 0.1175
W 0.5000 0.0000 0.5000
W 0.2500 0.8750 0.1250
S 0.9666 0.5841 0.1774
S 0.2892 0.4068 0.8226
S 0.6774 0.2108 0.5932
W 0.1250 0.3750 0.2500
S 0.0334 0.6175 0.7108
Pa 0.8750 0.1250 0.2500
W 0.8750 0.2500 0.6250
S 0.7108 0.1175 0.0334
W 0.8750 0.6250 0.7500
S 0.7892 0.4666 0.3825
S 0.6175 0.5841 0.9068
S 0.9159 0.0932 0.8825
S 0.0932 0.9159 0.3825
S 0.9068 0.8226 0.7892
S 0.5841 0.9666 0.6774
S 0.0841 0.9068 0.1175
Pa 0.6250 0.2500 0.3750
W 0.5000 0.0000 0.0000
W 0.0000 0.0000 0.5000
S 0.8825 0.5932 0.9159
S 0.3825 0.9666 0.7892
Pa 0.7500 0.3750 0.1250
S 0.0841 0.1774 0.4666
S 0.4068 0.1175 0.5841
W 0.3750 0.2500 0.1250
W 0.6250 0.7500 0.8750
Pa 0.3750 0.6250 0.2500
Pa 0.3750 0.7500 0.6250
S 0.5334 0.3226 0.9159
S 0.3825 0.4159 0.0932
S 0.1774 0.0932 0.7108
S 0.2108 0.6774 0.0932
S 0.5841 0.6175 0.4068
S 0.0334 0.4159 0.8226
W 0.0000 0.5000 0.0000
W 0.3750 0.1250 0.7500
Pa 0.2500 0.6250 0.8750
S 0.6774 0.4666 0.5841
S 0.0932 0.1774 0.2108
S 0.9159 0.8226 0.5334
W 0.7500 0.6250 0.3750
W 0.6250 0.8750 0.2500
W 0.0000 0.0000 0.0000
Pa 0.1250 0.8750 0.7500
W 0.2500 0.3750 0.6250
S 0.7108 0.5932 0.1774
W 0.7500 0.1250 0.8750
S 0.2108 0.5334 0.6175
Pa 0.1250 0.2500 0.8750
S 0.7892 0.3226 0.9068
S 0.9068 0.0841 0.6175
Pa 0.6250 0.3750 0.7500
Pa 0.8750 0.7500 0.1250
W 0.1250 0.7500 0.3750
S 0.4159 0.0334 0.3226
W 0.0000 0.5000 0.5000
S 0.4666 0.6774 0.0841
S 0.5932 0.8825 0.4159
S 0.3226 0.5334 0.4159
S 0.4159 0.3825 0.5932
W 0.5000 0.5000 0.0000
S 0.4068 0.2892 0.3226
W 0.5000 0.5000 0.5000
S 0.9666 0.3825 0.2892
S 0.4666 0.7892 0.8825
S 0.1175 0.7108 0.5334
S 0.5932 0.7108 0.6774
Pa 0.2500 0.1250 0.3750
S 0.6175 0.0334 0.2108
S 0.8226 0.9159 0.0334
S 0.8226 0.9068 0.2892
S 0.2892 0.8825 0.9666
S 0.3226 0.7892 0.4068
S 0.1774 0.0841 0.9666
S 0.8825 0.2892 0.4666
Pa 0.7500 0.8750 0.6250

---

! YPaS3 | the Alexandria database | PBE | optimized geometry; values from VASP
! Energy relative to the lowest polymorph listed for this composition (eV per formula unit): 1.10
! Total magnetization (μB per cell): 3.6
! Energy relative to the elements, uncorrected (eV/atom): -1.633
! SG: No. 155
&SYSTEM
  ibrav = 0, nat = 10, ntyp = 3
/
ATOMIC_SPECIES
Pa 231.04 Pa.upf
Y 88.91 Y.upf
S 32.06 S.upf
CELL_PARAMETERS angstrom
-0.3672 6.0295 2.7355
-2.3694 0.7109 6.1525
5.3710 1.4921 5.4696
ATOMIC_POSITIONS crystal
Pa 0.6571 0.6571 0.0288
Y 0.1560 0.1560 0.5321
S 0.5522 0.2506 0.2522
S 0.9450 0.5522 0.2522
S 0.0550 0.7494 0.7478
S 0.7494 0.4478 0.7478
Pa 0.3429 0.3429 0.9712
S 0.4478 0.0550 0.7478
S 0.2506 0.9450 0.2522
Y 0.8440 0.8440 0.4679

---

! YPaS2 | the Alexandria database | PBE | optimized geometry; values from VASP
! Energy relative to the lowest polymorph listed for this composition (eV per formula unit): 0.01
! Total magnetization (μB per cell): 0.4
! Energy relative to the elements, uncorrected (eV/atom): -1.770
! SG: No. 166
&SYSTEM
  ibrav = 0, nat = 4, ntyp = 3
/
ATOMIC_SPECIES
Y 88.91 Y.upf
S 32.06 S.upf
Pa 231.04 Pa.upf
CELL_PARAMETERS angstrom
-0.8706 3.7133 -0.0255
-3.2057 1.1956 -1.6856
-4.6605 0.9018 5.1878
ATOMIC_POSITIONS crystal
Y 0.0000 0.0000 0.0000
S 0.7483 0.7483 0.7551
S 0.2517 0.2517 0.2449
Pa 0.5000 0.5000 0.5000

---

! Y3PaS4 | the Alexandria database | PBE | optimized geometry; values from VASP
! Total magnetization (μB per cell): 0.0
! Energy relative to the elements, uncorrected (eV/atom): -1.879
! SG: No. 65
&SYSTEM
  ibrav = 0, nat = 8, ntyp = 3
/
ATOMIC_SPECIES
S 32.06 S.upf
Y 88.91 Y.upf
Pa 231.04 Pa.upf
CELL_PARAMETERS angstrom
3.8820 -0.0487 0.0655
0.0501 6.5220 1.8783
-0.1099 0.3533 6.7772
ATOMIC_POSITIONS crystal
S 0.0000 0.7515 0.7486
Y 0.0000 0.5001 0.5000
S 0.5000 0.7500 0.2499
S 0.5000 0.2502 0.7501
Pa 0.5000 0.5001 0.0000
S 0.0000 0.2488 0.2513
Y 0.0000 0.0001 0.0000
Y 0.5000 0.0002 0.4999

---

! Y2Pa3S8 | the Alexandria database | PBE | optimized geometry; values from VASP
! Energy relative to the lowest polymorph listed for this composition (eV per formula unit): 0.00
! Total magnetization (μB per cell): 1.8
! Energy relative to the elements, uncorrected (eV/atom): -1.694
! SG: No. 65
&SYSTEM
  ibrav = 0, nat = 13, ntyp = 3
/
ATOMIC_SPECIES
S 32.06 S.upf
Pa 231.04 Pa.upf
Y 88.91 Y.upf
CELL_PARAMETERS angstrom
-2.6323 2.4397 -3.1279
-3.5799 -8.0228 -3.2449
-3.1130 4.4035 6.0544
ATOMIC_POSITIONS crystal
S 0.5000 0.6385 0.7577
S 0.0000 0.6259 0.2519
S 0.0000 0.3741 0.7481
Pa 0.0000 0.7336 0.0000
Y 0.5000 0.2708 0.5416
S 0.0000 0.8855 0.7708
S 0.5000 0.1192 0.7576
S 0.5000 0.8808 0.2424
Pa 0.0000 0.2664 0.0000
Pa 0.5000 0.0000 0.0000
Y 0.5000 0.7292 0.4584
S 0.0000 0.1145 0.2292
S 0.5000 0.3615 0.2423

---

! YPaS3 | the Alexandria database | PBE | optimized geometry; values from VASP
! Energy relative to the lowest polymorph listed for this composition (eV per formula unit): 0.00
! Total magnetization (μB per cell): 3.5
! Energy relative to the elements, uncorrected (eV/atom): -1.853
! SG: No. 62
&SYSTEM
  ibrav = 0, nat = 20, ntyp = 3
/
ATOMIC_SPECIES
Y 88.91 Y.upf
Pa 231.04 Pa.upf
S 32.06 S.upf
CELL_PARAMETERS angstrom
-3.4689 0.4990 1.6542
2.1585 -4.0516 5.7487
5.0148 12.3200 6.8001
ATOMIC_POSITIONS crystal
Y 0.2500 0.2594 0.9558
Pa 0.2500 0.1243 0.2109
S 0.7500 0.6241 0.4293
S 0.2500 0.8759 0.9293
S 0.2500 0.6507 0.7243
S 0.7500 0.3493 0.2757
S 0.2500 0.5063 0.1081
Pa 0.7500 0.3757 0.7109
S 0.7500 0.9937 0.6081
S 0.2500 0.1507 0.7757
Y 0.7500 0.7406 0.0442
Pa 0.2500 0.6243 0.2891
S 0.7500 0.8493 0.2243
S 0.2500 0.3759 0.5707
S 0.2500 0.0063 0.3919
Y 0.2500 0.7594 0.5442
S 0.7500 0.1241 0.0707
Y 0.7500 0.2406 0.4558
S 0.7500 0.4937 0.8919
Pa 0.7500 0.8757 0.7891

---

! Y2Pa2S7 | the Alexandria database | PBE | optimized geometry; values from VASP
! Energy relative to the lowest polymorph listed for this composition (eV per formula unit): 0.00
! Total magnetization (μB per cell): 1.5
! Energy relative to the elements, uncorrected (eV/atom): -1.816
! SG: No. 44
&SYSTEM
  ibrav = 0, nat = 11, ntyp = 3
/
ATOMIC_SPECIES
S 32.06 S.upf
Pa 231.04 Pa.upf
Y 88.91 Y.upf
CELL_PARAMETERS angstrom
-0.5126 3.2460 2.0702
2.3011 -2.2886 7.8018
7.8017 1.8589 2.6605
ATOMIC_POSITIONS crystal
S 0.3881 0.7174 0.5064
S 0.5000 0.0113 0.9887
S 0.6119 0.4936 0.2826
S 0.1845 0.7054 0.9257
Pa 0.2603 0.3299 0.1495
Y 0.0000 0.7870 0.2130
S 0.1410 0.1376 0.5803
Pa 0.7397 0.8505 0.6701
S 0.8155 0.0743 0.2946
S 0.8590 0.4197 0.8624
Y 0.5000 0.3271 0.6729

---

! Y2Pa2S7 | the Alexandria database | PBE | optimized geometry; values from VASP
! Energy relative to the lowest polymorph listed for this composition (eV per formula unit): 1.18
! Total magnetization (μB per cell): 2.0
! Energy relative to the elements, uncorrected (eV/atom): -1.708
! SG: No. 115
&SYSTEM
  ibrav = 0, nat = 11, ntyp = 3
/
ATOMIC_SPECIES
S 32.06 S.upf
Y 88.91 Y.upf
Pa 231.04 Pa.upf
CELL_PARAMETERS angstrom
4.6024 0.0000 0.0000
0.0000 4.6024 0.0000
0.0000 0.0000 12.9850
ATOMIC_POSITIONS crystal
S 0.0000 0.0000 0.7622
Y 0.0000 0.5000 0.1380
S 0.5000 0.5000 0.7424
S 0.5000 0.5000 0.0000
S 0.0000 0.0000 0.2378
S 0.5000 0.5000 0.5000
Pa 0.5000 0.0000 0.3750
Pa 0.0000 0.5000 0.6250
S 0.0000 0.0000 0.5000
S 0.5000 0.5000 0.2576
Y 0.5000 0.0000 0.8620

---

! Y6PaS8 | the Alexandria database | PBE | optimized geometry; values from VASP
! Total magnetization (μB per cell): 1.4
! Energy relative to the elements, uncorrected (eV/atom): -1.941
! SG: No. 225
&SYSTEM
  ibrav = 0, nat = 15, ntyp = 3
/
ATOMIC_SPECIES
Y 88.91 Y.upf
S 32.06 S.upf
Pa 231.04 Pa.upf
CELL_PARAMETERS angstrom
-1.8134 3.2492 6.8773
-2.5750 -4.4686 5.8774
4.5452 -1.2566 6.2374
ATOMIC_POSITIONS crystal
Y 0.0000 0.5000 0.5000
S 0.7481 0.2519 0.7481
S 0.7481 0.7481 0.2519
S 0.2519 0.7481 0.2519
S 0.7481 0.2519 0.2519
Y 0.0000 0.0000 0.5000
S 0.7500 0.7500 0.7500
S 0.2519 0.7481 0.7481
Pa 0.0000 0.0000 0.0000
Y 0.5000 0.5000 0.0000
Y 0.0000 0.5000 0.0000
Y 0.5000 0.0000 0.5000
S 0.2500 0.2500 0.2500
Y 0.5000 0.0000 0.0000
S 0.2519 0.2519 0.7481

---

! YPa2S4 | the Alexandria database | PBE | optimized geometry; values from VASP
! Total magnetization (μB per cell): 3.0
! Energy relative to the elements, uncorrected (eV/atom): -1.659
! SG: No. 63
&SYSTEM
  ibrav = 0, nat = 14, ntyp = 3
/
ATOMIC_SPECIES
S 32.06 S.upf
Pa 231.04 Pa.upf
Y 88.91 Y.upf
CELL_PARAMETERS angstrom
3.7245 0.0000 0.0000
-1.8622 6.3849 0.0000
0.0000 0.0000 13.4071
ATOMIC_POSITIONS crystal
S 0.0453 0.0905 0.2500
S 0.7845 0.5689 0.1301
S 0.5000 0.0000 0.0000
S 0.9547 0.9095 0.7500
Pa 0.8582 0.7164 0.5641
Y 0.3841 0.7681 0.2500
S 0.5000 0.0000 0.5000
S 0.2155 0.4311 0.8699
Pa 0.1418 0.2836 0.0641
S 0.2155 0.4311 0.6301
Pa 0.1418 0.2836 0.4359
Pa 0.8582 0.7164 0.9359
Y 0.6159 0.2319 0.7500
S 0.7845 0.5689 0.3699

---

! Y5PaS6 | the Alexandria database | PBE | optimized geometry; values from VASP
! Total magnetization (μB per cell): 0.0
! Energy relative to the elements, uncorrected (eV/atom): -1.912
! SG: No. 12
&SYSTEM
  ibrav = 0, nat = 12, ntyp = 3
/
ATOMIC_SPECIES
Y 88.91 Y.upf
S 32.06 S.upf
Pa 231.04 Pa.upf
CELL_PARAMETERS angstrom
6.6996 0.1678 1.0202
1.6515 5.6793 3.3117
0.1152 0.0589 6.7789
ATOMIC_POSITIONS crystal
Y 0.0000 0.6660 0.6679
S 0.2485 0.9172 0.6681
S 0.7515 0.0828 0.3319
S 0.2532 0.2472 0.0000
Y 0.5000 0.1714 0.6573
Y 0.5000 0.5000 0.0000
S 0.7515 0.4147 0.6681
S 0.7468 0.7528 0.0000
Y 0.5000 0.8286 0.3427
S 0.2485 0.5853 0.3319
Pa 0.0000 0.0000 0.0000
Y 0.0000 0.3340 0.3321

---

! Y2PaS6 | the Alexandria database | PBE | optimized geometry; values from VASP
! Total magnetization (μB per cell): 0.0
! Energy relative to the elements, uncorrected (eV/atom): -1.603
! SG: No. 136
&SYSTEM
  ibrav = 0, nat = 18, ntyp = 3
/
ATOMIC_SPECIES
S 32.06 S.upf
Y 88.91 Y.upf
Pa 231.04 Pa.upf
CELL_PARAMETERS angstrom
-0.2526 0.8838 6.2955
5.1142 -3.7141 0.7266
7.2482 9.7690 -1.0806
ATOMIC_POSITIONS crystal
S 0.8052 0.1948 0.1612
S 0.8052 0.1948 0.8388
Y 0.5000 0.5000 0.1667
S 0.2952 0.2952 0.0000
S 0.3052 0.3052 0.6612
S 0.1948 0.8052 0.8388
S 0.2048 0.7952 0.5000
Pa 0.0000 0.0000 0.0000
Pa 0.5000 0.5000 0.5000
S 0.6948 0.6948 0.3388
S 0.1948 0.8052 0.1612
S 0.6948 0.6948 0.6612
S 0.7952 0.2048 0.5000
Y 0.0000 0.0000 0.6667
Y 0.5000 0.5000 0.8333
S 0.3052 0.3052 0.3388
Y 0.0000 0.0000 0.3333
S 0.7048 0.7048 0.0000

---

Number 1: Fermi-level density of states 92.22 states/eV/cell. Number 2: Fermi-level density of states 8.69 states/eV/cell. Number 3: Fermi-level density of states 4.42 states/eV/cell. Number 4: Fermi-level density of states 5.30 states/eV/cell. Number 5: Fermi-level density of states 11.47 states/eV/cell. Number 6: Fermi-level density of states 17.80 states/eV/cell. Number 7: Fermi-level density of states 5.11 states/eV/cell. Number 8: Fermi-level density of states 10.49 states/eV/cell. Number 9: Fermi-level density of states 12.77 states/eV/cell. Number 10: Fermi-level density of states 16.28 states/eV/cell. Number 11: Fermi-level density of states 8.46 states/eV/cell. Number 12: Fermi-level density of states 10.34 states/eV/cell.